No. 1
Computed, not measured: InSCl3 after structural relaxation at the PBE level of DFT.

Unit cell a=5.032 b=5.032 c=5.032 alpha=90.00 beta=90.00 gamma=90.00
Sites, in units of the cell vectors:
S  0.000  0.000  0.000
Cl  0.000  0.500  0.000
Cl  0.000  0.000  0.500
Cl  0.500  0.000  0.000
In  0.500  0.500  0.500

Computed properties:
Density of states at the Fermi level (states/eV/cell): 0.995
Energy relative to the elements, uncorrected (meV/atom): -217
Space-group type: Pm-3m, No. 221
Crystal system: cubic
Energy above the lowest structure with this stoichiometry (kJ/mol of formula units): 235.2

---

No. 2
Computed, not measured: InS6Cl2 after structural relaxation at the PBE level of DFT.

Unit cell a=4.000 b=8.062 c=8.658 alpha=116.00 beta=93.51 gamma=91.08
Site moments in Bohr magnetons follow the coordinates.
Sites, in units of the cell vectors:
In  0.000  0.000  0.000  0.01
S  0.894  0.508  0.266  0.00
S  0.106  0.492  0.734  0.00
S  0.869  0.710  0.709  0.09
S  0.892  0.268  0.542  0.20
S  0.108  0.732  0.458  0.20
S  0.131  0.290  0.291  0.09
Cl  0.504  0.869  0.117  0.02
Cl  0.496  0.131  0.883  0.02

Computed properties:
Density of states at the Fermi level (states/eV/cell): 1.132
Energy relative to the elements, uncorrected (meV/atom): -176
Space-group type: P-1, No. 2
Crystal system: triclinic

---

No. 3
Computed, not measured: In5S5Cl after structural relaxation at the PBE level of DFT.

Unit cell a=3.974 b=9.054 c=15.345 alpha=85.97 beta=90.00 gamma=90.00
Sites, in units of the cell vectors:
In  0.250  0.658  0.554
In  0.750  0.342  0.446
In  0.250  0.134  0.936
In  0.750  0.866  0.064
In  0.750  0.954  0.646
In  0.250  0.046  0.354
In  0.750  0.237  0.708
In  0.250  0.763  0.292
In  0.750  0.629  0.846
In  0.250  0.371  0.154
S  0.750  0.465  0.599
S  0.250  0.535  0.401
S  0.750  0.834  0.501
S  0.250  0.166  0.499
S  0.250  0.318  0.800
S  0.750  0.682  0.200
S  0.750  0.965  0.901
S  0.250  0.035  0.099
S  0.250  0.789  0.703
S  0.750  0.211  0.297
Cl  0.750  0.327  0.993
Cl  0.250  0.673  0.007

Computed properties:
Energy relative to the elements, uncorrected (meV/atom): -589
Space-group type: P2_1/m, No. 11
Crystal system: monoclinic

---

No. 4
Computed, not measured: InS2Cl after structural relaxation at the PBE level of DFT.

Unit cell a=6.721 b=6.721 c=6.849 alpha=60.62 beta=60.62 gamma=90.00
Sites, in units of the cell vectors:
S  0.665  0.125  0.250
S  0.085  0.625  0.250
S  0.375  0.335  0.750
S  0.875  0.915  0.750
Cl  0.500  0.500  0.000
Cl  0.250  0.750  0.500
In  0.000  0.000  0.000
In  0.750  0.250  0.500

Computed properties:
Density of states at the Fermi level (states/eV/cell): 7.270
Energy relative to the elements, uncorrected (meV/atom): 131
Space-group type: I-42d, No. 122
Crystal system: tetragonal
Energy above the lowest structure with this stoichiometry (kJ/mol of formula units): 157.7

---

No. 5
Computed, not measured: InSCl after structural relaxation at the PBE level of DFT.

Unit cell a=3.939 b=6.479 c=6.598 alpha=92.01 beta=90.00 gamma=90.00
Sites, in units of the cell vectors:
In  0.750  0.217  0.047
In  0.250  0.783  0.953
S  0.750  0.934  0.763
S  0.250  0.066  0.237
Cl  0.750  0.581  0.207
Cl  0.250  0.419  0.793

Computed properties:
Density of states at the Fermi level (states/eV/cell): 0.000
Energy relative to the elements, uncorrected (meV/atom): -777
Space-group type: P2_1/m, No. 11
Crystal system: monoclinic

---

No. 6
Computed, not measured: In3SCl7 after structural relaxation at the PBE level of DFT.

Unit cell a=7.582 b=7.586 c=7.460 alpha=74.88 beta=59.45 gamma=60.02
Sites, in units of the cell vectors:
In  0.058  0.268  0.616
In  0.581  0.745  0.616
In  0.058  0.745  0.616
S  0.788  0.583  0.842
Cl  0.348  0.923  0.382
Cl  0.291  0.600  0.819
Cl  0.856  0.907  0.380
Cl  0.290  0.077  0.821
Cl  0.812  0.077  0.821
Cl  0.336  0.429  0.379
Cl  0.857  0.429  0.379

Computed properties:
Density of states at the Fermi level (states/eV/cell): 0.000
Energy relative to the elements, uncorrected (meV/atom): -1004
Space-group type: Cm, No. 8
Crystal system: monoclinic

---

No. 7
Computed, not measured: InSCl2 after structural relaxation at the PBE level of DFT.

Unit cell a=9.641 b=9.641 c=9.641 alpha=21.73 beta=21.73 gamma=21.73
Site moments in Bohr magnetons follow the coordinates.
Sites, in units of the cell vectors:
S  0.500  0.500  0.500  1.22
Cl  0.913  0.913  0.913  0.13
Cl  0.087  0.087  0.087  0.13
In  0.000  0.000  0.000  0.01

Computed properties:
Density of states at the Fermi level (states/eV/cell): 3.281
Energy relative to the elements, uncorrected (meV/atom): 351
Space-group type: R-3m, No. 166
Crystal system: trigonal
Energy above the lowest structure with this stoichiometry (kJ/mol of formula units): 244.5

---

No. 8
Computed, not measured: In12S5Cl3 after structural relaxation at the PBE level of DFT.

Unit cell a=15.246 b=15.246 c=15.246 alpha=109.47 beta=109.47 gamma=109.47
Sites, in units of the cell vectors:
Cl  0.750  0.375  0.125
Cl  0.875  0.750  0.125
Cl  0.375  0.750  0.625
Cl  0.250  0.125  0.375
Cl  0.875  0.125  0.250
Cl  0.375  0.625  0.250
Cl  0.625  0.375  0.750
Cl  0.125  0.875  0.750
Cl  0.750  0.875  0.625
Cl  0.625  0.250  0.375
Cl  0.125  0.250  0.875
Cl  0.250  0.625  0.875
S  0.125  0.375  0.250
S  0.000  0.500  0.000
S  0.000  0.000  0.000
S  0.375  0.250  0.125
S  0.500  0.000  0.500
S  0.500  0.500  0.000
S  0.125  0.750  0.375
S  0.750  0.125  0.875
S  0.750  0.625  0.375
S  0.375  0.125  0.750
S  0.625  0.875  0.250
S  0.500  0.500  0.500
S  0.500  0.000  0.000
S  0.000  0.000  0.500
S  0.250  0.375  0.625
S  0.250  0.875  0.125
S  0.000  0.500  0.500
S  0.875  0.250  0.625
S  0.625  0.750  0.875
S  0.875  0.625  0.750
In  0.723  0.140  0.051
In  0.327  0.551  0.410
In  0.949  0.360  0.277
In  0.551  0.223  0.140
In  0.583  0.723  0.673
In  0.949  0.590  0.173
In  0.327  0.777  0.417
In  0.090  0.917  0.140
In  0.590  0.949  0.673
In  0.723  0.583  0.173
In  0.777  0.449  0.360
In  0.827  0.910  0.051
In  0.140  0.723  0.551
In  0.360  0.410  0.083
In  0.083  0.910  0.360
In  0.417  0.140  0.590
In  0.083  0.173  0.223
In  0.449  0.673  0.090
In  0.827  0.917  0.277
In  0.140  0.417  0.090
In  0.360  0.949  0.777
In  0.590  0.640  0.417
In  0.910  0.827  0.551
In  0.777  0.327  0.917
In  0.410  0.360  0.583
In  0.090  0.173  0.449
In  0.223  0.673  0.083
In  0.173  0.083  0.723
In  0.640  0.051  0.223
In  0.860  0.583  0.910
In  0.551  0.327  0.910
In  0.583  0.860  0.410
In  0.917  0.827  0.777
In  0.917  0.090  0.640
In  0.860  0.277  0.449
In  0.173  0.090  0.949
In  0.640  0.590  0.917
In  0.410  0.051  0.327
In  0.277  0.417  0.827
In  0.223  0.551  0.640
In  0.910  0.083  0.860
In  0.673  0.223  0.583
In  0.449  0.777  0.860
In  0.051  0.410  0.827
In  0.417  0.277  0.327
In  0.051  0.640  0.723
In  0.673  0.449  0.590
In  0.277  0.860  0.949

Computed properties:
Density of states at the Fermi level (states/eV/cell): 28.400
Energy relative to the elements, uncorrected (meV/atom): -249
Space-group type: Ia-3d, No. 230
Crystal system: cubic

---

No. 9
Computed, not measured: In4S5Cl after structural relaxation at the PBE level of DFT.

Unit cell a=6.355 b=7.873 c=11.273 alpha=90.00 beta=90.00 gamma=90.00
Sites, in units of the cell vectors:
In  0.941  0.012  0.250
In  0.941  0.488  0.250
In  0.059  0.988  0.750
In  0.059  0.512  0.750
In  0.450  0.250  0.459
In  0.450  0.250  0.041
In  0.550  0.750  0.541
In  0.550  0.750  0.959
S  0.731  0.491  0.434
S  0.731  0.491  0.066
S  0.731  0.009  0.434
S  0.731  0.009  0.066
S  0.269  0.509  0.566
S  0.269  0.509  0.934
S  0.269  0.991  0.566
S  0.269  0.991  0.934
S  0.224  0.250  0.250
S  0.776  0.750  0.750
Cl  0.182  0.750  0.250
Cl  0.818  0.250  0.750

Computed properties:
Density of states at the Fermi level (states/eV/cell): 4.385
Energy relative to the elements, uncorrected (meV/atom): -486
Space-group type: Pmmn, No. 59
Crystal system: orthorhombic

---

Number 1: calculated total energy -2.698 eV per atom, magnetic moment 0.0 μB/cell. Number 2: calculated total energy -3.643 eV per atom, magnetic moment 1.0 μB/cell. Number 3: calculated total energy -3.878 eV per atom, magnetic moment 0.0 μB/cell. Number 4: calculated total energy -3.079 eV per atom, magnetic moment 0.0 μB/cell. Number 5: calculated total energy -3.681 eV per atom, magnetic moment 0.0 μB/cell. Number 6: calculated total energy -3.301 eV per atom, magnetic moment 0.1 μB/cell. Number 7: calculated total energy -2.289 eV per atom, magnetic moment 2.3 μB/cell. Number 8: calculated total energy -3.201 eV per atom, magnetic moment 0.0 μB/cell. Number 9: calculated total energy -3.830 eV per atom, magnetic moment 0.0 μB/cell.